DFT (GGA-PBE) results for a relaxed structure of LaInMo2.

The structure in POSCAR format:
```
LaInMo2
1.0
-1.712 2.510 5.124
1.712 -2.510 5.124
1.712 2.510 -5.124
La In Mo
1 1 2
direct
0.000 0.000 0.000 La
0.714 0.214 0.500 In
0.268 0.768 0.500 Mo
0.446 0.446 0.000 Mo
```

Properties
Theoretical density   8.40 Mg/m³
Final energy   -28.031 eV/cell

DFT (GGA-PBE) results for a relaxed structure of SrRe2Pt.

The structure in POSCAR format:
```
SrRe2Pt
1.0
3.393 0.000 0.000
0.000 3.393 0.000
0.000 0.000 7.250
Sr Re Pt
1 2 1
direct
0.000 0.000 0.000 Sr
0.500 0.500 0.333 Re
0.500 0.500 0.667 Re
0.000 0.000 0.500 Pt
```

Properties
Theoretical density   13.04 Mg/m³
Excess energy over the best structure of this formula in the dataset   523.8 meV per atom

DFT (GGA-PBE) results for a relaxed structure of PmYTc4.

The structure in POSCAR format:
```
PmYTc4
1.0
0.000 3.849 3.849
3.849 0.000 3.849
3.849 3.849 0.000
Pm Y Tc
1 1 4
direct
0.000 0.000 0.000 Pm
0.750 0.750 0.750 Y
0.375 0.375 0.375 Tc
0.375 0.375 0.875 Tc
0.375 0.875 0.375 Tc
0.875 0.375 0.375 Tc
```

Properties
Theoretical density   9.11 Mg/m³
Final energy   -53.017 eV/cell

DFT (GGA-PBE) results for a relaxed structure of Ba3Sn4Pb4.

The structure in POSCAR format:
```
Ba3Sn4Pb4
1.0
-2.644 4.307 8.659
2.644 -4.307 8.659
2.644 4.307 -8.659
Ba Sn Pb
3 4 4
direct
0.000 0.000 0.000 Ba
0.374 0.874 0.500 Ba
0.626 0.126 0.500 Ba
0.210 0.210 0.000 Sn
0.324 0.500 0.824 Sn
0.676 0.500 0.176 Sn
0.790 0.790 0.000 Sn
0.030 0.332 0.697 Pb
0.365 0.668 0.697 Pb
0.635 0.332 0.303 Pb
0.970 0.668 0.303 Pb
```

Properties
Theoretical density   7.22 Mg/m³
Final energy   -41.210 eV/cell

DFT (GGA-PBE) results for a relaxed structure of TcPdI2O.

The structure in POSCAR format:
```
TcPdI2O
1.0
5.655 0.000 0.000
0.000 5.655 0.000
0.000 0.000 3.847
Tc Pd I O
1 1 2 1
direct
0.000 0.000 0.000 Tc
0.500 0.500 0.500 Pd
0.000 0.500 0.500 I
0.500 0.000 0.500 I
0.500 0.500 0.000 O
```

Properties
Theoretical density   6.40 Mg/m³
Excess energy over the best structure of this formula in the dataset   691.1 meV per atom
Raw formation energy   0.67 eV per atom

DFT (GGA-PBE) results for a relaxed structure of CaMnIr2.

The structure in POSCAR format:
```
CaMnIr2
1.0
4.489 -1.456 0.000
4.489 1.456 0.000
-1.133 0.000 5.349
Ca Mn Ir
1 1 2
direct
0.000 0.000 0.000 Ca
0.500 0.500 0.500 Mn
0.235 0.235 0.691 Ir
0.765 0.765 0.309 Ir
```

Properties
Theoretical density   11.39 Mg/m³
Excess energy over the best structure of this formula in the dataset   200.8 meV per atom